(1)
Computed, not measured: crystalline CeZn4In at its relaxed geometry at the PBE level of DFT.

## Properties
Space group: P6/mmm
Magnetic moment, μB/atom: 0.11
E_form, eV per atom: -0.224
Volume, Å³ per atom: 19.8

a = 4.525 Å, b = 4.525 Å, c = 6.709 Å
α = 90.04°, β = 90.01°, γ = 120.00°
Site moments in Bohr magnetons follow the coordinates.
Fractional positions:
1 Zn 0.337 0.166 0.246  0.01
2 Zn 0.671 0.833 0.750  0.01
3 Zn 0.338 0.167 0.750  0.01
4 Zn 0.670 0.832 0.246  0.01
5 Ce 0.004 0.499 0.498  0.52
6 In 0.004 0.499 0.998  0.01

=====

(2)
Computed, not measured: crystalline MgTaTc2 at its relaxed geometry at the PBE level of DFT.

## Properties
Space group: P4/mmm
Magnetic moment, μB/atom: 0.00
E_form, eV per atom: 0.006
Volume, Å³ per atom: 16.3

a = 3.198 Å, b = 3.198 Å, c = 6.385 Å
α = 90.00°, β = 90.00°, γ = 90.00°
Fractional positions:
1 Ta 0.500 0.500 0.750
2 Tc 0.000 0.000 0.984
3 Tc 0.000 0.000 0.516
4 Mg 0.500 0.500 0.250

=====

(3)
Computed, not measured: crystalline LiSb2P at its relaxed geometry at the PBE level of DFT.

## Properties
Formation energy (no corrections), eV per atom: 0.072
Space group: C2/m
Magnetic moment, μB/atom: 0.00
Volume, Å³ per atom: 21.2

a = 7.352 Å, b = 4.872 Å, c = 3.607 Å
α = 90.10°, β = 60.47°, γ = 124.89°
Fractional positions:
1 P 0.500 0.500 0.000
2 Sb 0.000 0.000 0.000
3 Sb 0.500 0.000 0.500
4 Li 0.000 0.500 0.500

=====

(4)
Computed, not measured: crystalline CdFe2Cu at its relaxed geometry at the PBE level of DFT.

## Properties
Space group: C2/m
Magnetic moment, μB/atom: 1.28
E_form, eV per atom: 0.303
Volume, Å³ per atom: 14.1

a = 4.822 Å, b = 4.822 Å, c = 4.507 Å
α = 78.04°, β = 78.04°, γ = 33.42°
Site moments in Bohr magnetons follow the coordinates.
Fractional positions:
1 Fe 0.507 0.507 0.474  2.60
2 Fe 0.993 0.993 0.026  2.60
3 Cd 0.750 0.750 0.750  -0.05
4 Cu 0.250 0.250 0.250  0.05

=====

(5)
Computed, not measured: crystalline ZnCr2Ni at its relaxed geometry at the PBE level of DFT.

## Properties
Space group: Cmm2
Magnetic moment, μB/atom: 0.00
E_form, eV per atom: 0.051
Volume, Å³ per atom: 11.9

a = 2.482 Å, b = 2.482 Å, c = 8.064 Å
α = 90.00°, β = 90.00°, γ = 106.47°
Fractional positions:
1 Ni 0.000 0.000 0.491
2 Zn 0.500 0.500 0.743
3 Cr 0.000 0.000 0.012
4 Cr 0.500 0.500 0.255

=====

(6)
Computed, not measured: crystalline Ba2GeI at its relaxed geometry at the PBE level of DFT.

## Properties
Formation energy (no corrections), eV per atom: -0.930
Space group: P4/mmm
Magnetic moment, μB/atom: 0.00
Volume, Å³ per atom: 37.8

a = 4.075 Å, b = 4.075 Å, c = 9.094 Å
α = 90.00°, β = 90.00°, γ = 90.00°
Fractional positions:
1 I 0.500 0.500 0.500
2 Ba 0.000 0.000 0.785
3 Ba 0.000 0.000 0.215
4 Ge 0.500 0.500 0.000

=====

(7)
Computed, not measured: crystalline YSb2Pd7 at its relaxed geometry at the PBE level of DFT.

## Properties
Formation energy (no corrections), eV per atom: -0.309
Space group: Cmmm
Magnetic moment, μB/atom: 0.00
Volume, Å³ per atom: 22.2

a = 4.559 Å, b = 7.500 Å, c = 7.500 Å
α = 120.08°, β = 90.00°, γ = 90.00°
Fractional positions:
1 Pd 0.500 0.930 0.708
2 Pd 0.000 0.788 0.212
3 Pd 0.000 0.212 0.788
4 Pd 0.500 0.708 0.930
5 Pd 0.500 0.070 0.292
6 Pd 0.500 0.500 0.500
7 Pd 0.500 0.292 0.070
8 Sb 0.500 0.302 0.698
9 Sb 0.500 0.698 0.302
10 Y 0.000 0.000 0.000

=====

(8)
Computed, not measured: crystalline Be4CdBr at its relaxed geometry at the PBE level of DFT.

## Properties
Formation energy (no corrections), eV per atom: 0.684
Space group: F-43m
Magnetic moment, μB/atom: 0.00
Volume, Å³ per atom: 13.8

a = 4.891 Å, b = 4.891 Å, c = 4.891 Å
α = 60.00°, β = 60.00°, γ = 60.00°
Fractional positions:
1 Br 0.750 0.750 0.750
2 Cd 0.000 0.000 0.000
3 Be 0.370 0.370 0.891
4 Be 0.370 0.891 0.370
5 Be 0.370 0.370 0.370
6 Be 0.891 0.370 0.370

=====

(9)
Computed, not measured: crystalline Ge2PbS at its relaxed geometry at the PBE level of DFT.

## Properties
Formation energy (no corrections), eV per atom: 0.285
Space group: I-42d
Magnetic moment, μB/atom: 0.00
Volume, Å³ per atom: 28.7

a = 5.677 Å, b = 5.677 Å, c = 8.186 Å
α = 69.71°, β = 69.71°, γ = 90.00°
Fractional positions:
1 Pb 0.000 0.000 0.000
2 Pb 0.750 0.250 0.500
3 Ge 0.375 0.430 0.750
4 Ge 0.570 0.125 0.250
5 Ge 0.180 0.625 0.250
6 Ge 0.875 0.820 0.750
7 S 0.500 0.500 0.000
8 S 0.250 0.750 0.500

=====

(10)
Computed, not measured: crystalline TlSiSe2 at its relaxed geometry at the PBE level of DFT.

## Properties
Formation energy (no corrections), eV per atom: -0.095
Space group: Cm
Magnetic moment, μB/atom: 0.00
Volume, Å³ per atom: 26.5

a = 6.028 Å, b = 6.028 Å, c = 6.022 Å
α = 63.25°, β = 63.25°, γ = 33.27°
Fractional positions:
1 Tl 0.186 0.186 0.269
2 Se 0.834 0.834 0.627
3 Se 0.021 0.021 0.906
4 Si 0.460 0.460 0.698

=====

(11)
Computed, not measured: crystalline BaCd2Os2O7 at its relaxed geometry at the PBE level of DFT.

## Properties
Formation energy (no corrections), eV per atom: -1.138
Space group: Imm2
Magnetic moment, μB/atom: 0.00
Volume, Å³ per atom: 14.4

a = 3.795 Å, b = 4.849 Å, c = 9.858 Å
α = 104.24°, β = 101.10°, γ = 90.00°
Fractional positions:
1 O 0.715 0.784 0.430
2 O 0.285 0.353 0.570
3 O 0.398 0.818 0.796
4 O 0.896 0.386 0.792
5 O 0.104 0.594 0.208
6 O 0.500 0.405 0.000
7 O 0.602 0.022 0.204
8 Cd 0.282 0.845 0.565
9 Cd 0.718 0.280 0.435
10 Os 0.396 0.406 0.792
11 Os 0.604 0.614 0.208
12 Ba 0.000 0.993 0.000

=====

(12)
Computed, not measured: crystalline CaThP2S8 at its relaxed geometry at the PBE level of DFT.

## Properties
Formation energy (no corrections), eV per atom: -0.814
Space group: P-3
Magnetic moment, μB/atom: 0.00
Volume, Å³ per atom: 24.1

a = 6.039 Å, b = 6.039 Å, c = 9.177 Å
α = 90.00°, β = 90.00°, γ = 120.00°
Fractional positions:
1 S 0.999 0.349 0.700
2 S 0.350 0.001 0.700
3 S 0.001 0.651 0.300
4 S 0.650 0.999 0.300
5 S 0.651 0.650 0.700
6 S 0.333 0.667 0.987
7 S 0.349 0.350 0.300
8 S 0.667 0.333 0.013
9 Th 0.000 0.000 0.500
10 P 0.667 0.333 0.230
11 P 0.333 0.667 0.770
12 Ca 0.000 0.000 0.000

=====

(13)
Computed, not measured: crystalline K4Nd3UTe8 at its relaxed geometry at the PBE level of DFT.

## Properties
Formation energy (no corrections), eV per atom: -1.269
Space group: R-3m
Magnetic moment, μB/atom: 0.19
Volume, Å³ per atom: 37.9

a = 9.202 Å, b = 9.830 Å, c = 9.203 Å
α = 117.92°, β = 120.00°, γ = 90.00°
Site moments in Bohr magnetons follow the coordinates.
Fractional positions:
1 Te 0.236 0.714 0.473  -0.02
2 Te 0.764 0.286 0.022  -0.02
3 Te 0.739 0.716 0.477  0.00
4 Te 0.236 0.714 0.978  -0.02
5 Te 0.261 0.284 0.523  0.00
6 Te 0.259 0.286 0.022  -0.02
7 Te 0.741 0.714 0.978  -0.02
8 Te 0.764 0.286 0.527  -0.02
9 K 0.500 0.000 0.000  0.00
10 K 0.000 0.000 0.500  0.00
11 K 0.500 0.000 0.500  0.00
12 K 0.000 0.000 0.000  0.00
13 Nd 0.000 0.500 0.500  0.03
14 Nd 0.500 0.500 0.000  0.03
15 Nd 0.500 0.500 0.500  0.03
16 U 0.000 0.500 0.000  2.74

=====

(14)
Computed, not measured: crystalline CsPbO2 at its relaxed geometry at the PBE level of DFT.

## Properties
Formation energy (no corrections), eV per atom: -0.907
Space group: Cmcm
Magnetic moment, μB/atom: 0.00
Volume, Å³ per atom: 26.6

a = 10.816 Å, b = 10.816 Å, c = 4.471 Å
α = 90.00°, β = 90.00°, γ = 155.97°
Fractional positions:
1 Cs 0.687 0.313 0.750
2 Cs 0.313 0.687 0.250
3 O 0.831 0.169 0.750
4 O 0.050 0.950 0.750
5 O 0.169 0.831 0.250
6 O 0.950 0.050 0.250
7 Pb 0.069 0.931 0.250
8 Pb 0.931 0.069 0.750